[1]
10
Lattice="7.330 0.000 0.000 3.665 6.348 0.000 3.665 2.116 5.985" Properties=species:S:1:pos:R:3 comment="PBEsol Cs2InAgCl6, optimized geometry" formation_energy_uncorrected_mev_per_atom=-1385 pbc="T T T"
Cs 10.995 6.348 4.489
Cs 3.665 2.116 1.496
In 0.000 0.000 0.000
Ag 7.330 4.232 2.993
Cl 7.330 2.066 1.461
Cl 9.207 5.315 1.461
Cl 7.330 6.399 4.525
Cl 9.207 3.149 4.525
Cl 5.454 5.315 1.461
Cl 5.454 3.149 4.525


[2]
4
Lattice="-2.888 2.745 0.696 0.365 -0.626 3.979 4.110 1.886 -2.136" Properties=species:S:1:pos:R:3 comment="PBEsol Li2MgZn, optimized geometry" formation_enthalpy_0k_kj_per_mol_fu=-33 pbc="T T T"
Zn 0.000 0.000 0.000
Mg -1.262 1.060 2.338
Li -0.020 2.845 0.449
Li 1.607 1.160 2.091


[3]
4
Lattice="-3.051 1.667 3.361 -4.745 0.182 -0.918 -3.016 -3.039 2.249" Properties=species:S:1:pos:R:3 comment="PBEsol Gd2PdRu, optimized geometry" formation_enthalpy_0k_kj_per_mol_fu=-205 pbc="T T T"
Ru -5.406 -0.595 2.346
Gd -8.109 -0.892 3.519
Gd -2.703 -0.297 1.173
Pd 0.000 0.000 0.000